[1]
# K2CdSO6

An optimized crystal structure of K2CdSO6 (PBE, the Alexandria database).

Unit cell a=6.0324 b=6.0324 c=5.6485 alpha=90.00 beta=90.00 gamma=120.00
Space group P-3m1 (No. 164)
One atom of each set of equivalent atoms:
K 0.3333 0.6667 0.1391 x2
Cd 0.0000 0.0000 0.5000 x1
S 0.0000 0.0000 0.0000 x1
O 0.1302 0.2603 0.8283 x6

- DOS at the Fermi energy: 0.431 states/eV/atom
- Final energy: -4.703 eV/atom
- ΔE_f (raw): -1004 meV per atom

---

[2]
# KCdS2O8

An optimized crystal structure of KCdS2O8 (PBE, the Alexandria database).

Unit cell a=5.1302 b=5.1302 c=8.2964 alpha=90.00 beta=90.00 gamma=120.00
Space group P-3 (No. 147)
One atom of each set of equivalent atoms:
K 0.0000 0.0000 0.0000 x1
Cd 0.0000 0.0000 0.5000 x1
S 0.3333 0.6667 0.7343 x2
O 0.0765 0.3758 0.6770 x6
O 0.3333 0.6667 0.9130 x2

- DOS at the Fermi energy: 1.038 states/eV/atom
- Final energy: -5.547 eV/atom
- ΔE_f (raw): -1386 meV per atom

---

Q: The lowest ΔE_f (raw) belongs to which entry?
A: KCdS2O8

---

Q: Which value of final energy does entry 2 give?
A: -5.547 eV/atom

---

Q: What is the formula in the first record?
A: K2CdSO6

---

Q: What is the formula in the second record?
A: KCdS2O8